(one)
CoOsSe: optimized geometry, PBE.

The structure in extended XYZ format:
```
12
Lattice="2.710 0.000 0.000 0.000 4.750 0.000 0.000 0.000 14.755" Properties=species:S:1:pos:R:3 pbc="T T T"
Co 0.000 0.000 0.000
Co 0.000 2.375 7.378
Co 1.355 0.000 7.378
Co 1.355 2.375 0.000
Os 0.000 0.000 5.338
Os 0.000 2.375 12.715
Os 1.355 0.000 12.715
Os 1.355 2.375 5.338
Se 0.000 0.000 9.486
Se 0.000 2.375 2.108
Se 1.355 0.000 2.108
Se 1.355 2.375 9.486
```

Computed properties:
- SG = Fmm2, No. 42
- magnetic moment (μB/atom) = 0.570
- density of states at the Fermi level (states/eV/cell) = 15.91



(two)
CoOsSe: optimized geometry, PBE.

The structure in extended XYZ format:
```
6
Lattice="2.962 0.000 0.000 0.000 3.740 0.000 0.000 0.000 7.669" Properties=species:S:1:pos:R:3 pbc="T T T"
Co 0.000 0.000 0.000
Co 1.481 1.870 3.834
Os 0.000 0.000 2.671
Os 1.481 1.870 6.505
Se 0.000 0.000 5.253
Se 1.481 1.870 1.418
```

Computed properties:
- SG = Imm2, No. 44
- magnetic moment (μB/atom) = 0.679
- density of states at the Fermi level (states/eV/cell) = 5.67



Quick one: most stable of them? (two)



(one)
CoOsSe: optimized geometry, PBE.

The structure in extended XYZ format:
```
12
Lattice="5.772 0.000 0.000 0.000 5.772 0.000 0.000 0.000 5.772" Properties=species:S:1:pos:R:3 pbc="T T T"
Co 0.000 0.000 0.000
Co 0.000 2.886 2.886
Co 2.886 0.000 2.886
Co 2.886 2.886 0.000
Os 1.443 1.443 1.443
Os 1.443 4.329 4.329
Os 4.329 1.443 4.329
Os 4.329 4.329 1.443
Se 0.000 0.000 2.886
Se 0.000 2.886 0.000
Se 2.886 0.000 0.000
Se 2.886 2.886 2.886
```

Computed properties:
- SG = F-43m, No. 216
- magnetic moment (μB/atom) = 0.000
- density of states at the Fermi level (states/eV/cell) = 9.98



(two)
CoOsSe: optimized geometry, PBE.

The structure in extended XYZ format:
```
6
Lattice="2.942 0.000 0.000 0.000 2.942 0.000 0.000 0.000 9.911" Properties=species:S:1:pos:R:3 pbc="T T T"
Co 0.000 0.000 0.000
Co 1.471 1.471 4.955
Os 0.000 0.000 6.550
Os 1.471 1.471 1.594
Se 0.000 0.000 3.198
Se 1.471 1.471 8.153
```

Computed properties:
- SG = I4mm, No. 107
- magnetic moment (μB/atom) = 0.665
- density of states at the Fermi level (states/eV/cell) = 5.35



Quick one: most stable of them? (one)



(one)
Co2SiOs2: optimized geometry, PBE.

The structure in extended XYZ format:
```
10
Lattice="3.492 0.000 0.000 0.000 3.492 0.000 0.000 0.000 11.841" Properties=species:S:1:pos:R:3 pbc="T T T"
Co 0.000 0.000 1.127
Co 0.000 0.000 10.713
Co 1.746 1.746 4.793
Co 1.746 1.746 7.048
Si 0.000 0.000 5.920
Si 1.746 1.746 0.000
Os 0.000 1.746 2.960
Os 0.000 1.746 8.880
Os 1.746 0.000 2.960
Os 1.746 0.000 8.880
```

Computed properties:
- SG = I4/mmm, No. 139
- magnetic moment (μB/atom) = 0.000
- density of states at the Fermi level (states/eV/cell) = 9.28



(two)
Co2SiOs2: optimized geometry, PBE.

The structure in extended XYZ format:
```
10
Lattice="5.632 0.000 0.000 0.000 5.632 0.000 0.000 0.000 3.963" Properties=species:S:1:pos:R:3 pbc="T T T"
Co 0.785 2.031 0.000
Co 2.031 4.846 0.000
Co 3.601 0.785 0.000
Co 4.846 3.601 0.000
Si 0.000 0.000 0.000
Si 2.816 2.816 0.000
Os 0.919 3.735 1.981
Os 1.897 0.919 1.981
Os 3.735 4.713 1.981
Os 4.713 1.897 1.981
```

Computed properties:
- SG = P4/mbm, No. 127
- magnetic moment (μB/atom) = 0.205
- density of states at the Fermi level (states/eV/cell) = 8.19



Quick one: most stable of them? (two)



(one)
CoSiOs3: optimized geometry, PBE.

The structure in extended XYZ format:
```
5
Lattice="4.391 0.000 0.000 0.000 4.391 0.000 0.000 0.000 4.391" Properties=species:S:1:pos:R:3 pbc="T T T"
Co 0.000 0.000 0.000
Si 2.195 2.195 2.195
Os 0.000 0.000 2.195
Os 0.000 2.195 0.000
Os 2.195 0.000 0.000
```

Computed properties:
- SG = Pm-3m, No. 221
- magnetic moment (μB/atom) = 0.290
- density of states at the Fermi level (states/eV/cell) = 8.54



(two)
CoSiOs3: optimized geometry, PBE.

The structure in extended XYZ format:
```
5
Lattice="4.325 0.000 0.000 0.000 4.325 0.000 0.000 0.000 4.325" Properties=species:S:1:pos:R:3 pbc="T T T"
Co 0.000 0.000 0.000
Si 2.162 2.162 2.162
Os 0.000 2.162 2.162
Os 2.162 0.000 2.162
Os 2.162 2.162 0.000
```

Computed properties:
- SG = Pm-3m, No. 221
- magnetic moment (μB/atom) = 0.000
- density of states at the Fermi level (states/eV/cell) = 7.87



Quick one: most stable of them? (two)



(one)
Sr2CoOs: optimized geometry, PBE.

The structure in extended XYZ format:
```
8
Lattice="7.893 0.000 0.000 0.000 7.908 0.000 0.000 0.000 3.033" Properties=species:S:1:pos:R:3 pbc="T T T"
Sr 1.973 1.977 0.000
Sr 1.973 5.931 0.000
Sr 5.920 1.977 0.000
Sr 5.920 5.931 0.000
Co 0.000 0.000 1.516
Co 3.947 3.954 1.516
Os 0.000 3.954 1.516
Os 3.947 0.000 1.516
```

Computed properties:
- SG = Cmmm, No. 65
- magnetic moment (μB/atom) = 0.484
- density of states at the Fermi level (states/eV/cell) = 10.57



(two)
Sr2CoOs: optimized geometry, PBE.

The structure in extended XYZ format:
```
8
Lattice="4.031 0.000 0.000 0.000 4.965 0.000 0.000 0.000 10.560" Properties=species:S:1:pos:R:3 pbc="T T T"
Sr 0.000 0.000 0.000
Sr 0.000 2.482 2.331
Sr 2.016 0.000 7.611
Sr 2.016 2.482 5.280
Co 0.000 2.482 8.587
Co 2.016 0.000 3.306
Os 0.000 0.000 4.287
Os 2.016 2.482 9.567
```

Computed properties:
- SG = Imm2, No. 44
- magnetic moment (μB/atom) = 0.000
- density of states at the Fermi level (states/eV/cell) = 8.41



(three)
Sr2CoOs: optimized geometry, PBE.

The structure in extended XYZ format:
```
4
Lattice="3.409 0.000 0.000 0.000 3.409 0.000 0.000 0.000 8.947" Properties=species:S:1:pos:R:3 pbc="T T T"
Sr 0.000 0.000 0.000
Sr 1.705 1.705 3.739
Co 0.000 0.000 5.996
Os 1.705 1.705 6.697
```

Computed properties:
- SG = P4mm, No. 99
- magnetic moment (μB/atom) = 0.515
- density of states at the Fermi level (states/eV/cell) = 6.40



Quick one: most stable of them? (two)



(one)
SrCoOs: optimized geometry, PBE.

The structure in extended XYZ format:
```
3
Lattice="3.965 0.000 0.000 -1.983 3.434 0.000 0.000 0.000 4.846" Properties=species:S:1:pos:R:3 pbc="T T T"
Sr 0.000 0.000 0.000
Co 1.983 1.145 2.423
Os 0.000 2.289 2.423
```

Computed properties:
- SG = P-6m2, No. 187
- magnetic moment (μB/atom) = 0.000
- density of states at the Fermi level (states/eV/cell) = 2.77



(two)
SrCoOs: optimized geometry, PBE.

The structure in extended XYZ format:
```
3
Lattice="2.931 0.000 0.000 -1.466 2.539 0.000 0.000 0.000 7.237" Properties=species:S:1:pos:R:3 pbc="T T T"
Sr 0.000 0.000 0.000
Co 1.466 0.846 2.675
Os 0.000 1.692 4.532
```

Computed properties:
- SG = P3m1, No. 156
- magnetic moment (μB/atom) = 0.538
- density of states at the Fermi level (states/eV/cell) = 4.28



Quick one: most stable of them? (one)



(one)
SrCoOs: optimized geometry, PBE.

The structure in extended XYZ format:
```
12
Lattice="6.338 0.000 0.000 0.000 6.338 0.000 0.000 0.000 6.338" Properties=species:S:1:pos:R:3 pbc="T T T"
Sr 0.000 0.000 0.000
Sr 0.000 3.169 3.169
Sr 3.169 0.000 3.169
Sr 3.169 3.169 0.000
Co 1.585 1.585 1.585
Co 1.585 4.754 4.754
Co 4.754 1.585 4.754
Co 4.754 4.754 1.585
Os 0.000 0.000 3.169
Os 0.000 3.169 0.000
Os 3.169 0.000 0.000
Os 3.169 3.169 3.169
```

Computed properties:
- SG = F-43m, No. 216
- magnetic moment (μB/atom) = 1.056
- density of states at the Fermi level (states/eV/cell) = 12.17



(two)
SrCoOs: optimized geometry, PBE.

The structure in extended XYZ format:
```
6
Lattice="3.269 0.000 0.000 0.000 3.269 0.000 0.000 0.000 11.143" Properties=species:S:1:pos:R:3 pbc="T T T"
Sr 0.000 0.000 0.000
Sr 1.635 1.635 5.572
Co 0.000 0.000 7.978
Co 1.635 1.635 2.406
Os 0.000 0.000 3.187
Os 1.635 1.635 8.758
```

Computed properties:
- SG = I4mm, No. 107
- magnetic moment (μB/atom) = 0.580
- density of states at the Fermi level (states/eV/cell) = 6.10



Quick one: most stable of them? (two)



(one)
TaCo2Os: optimized geometry, PBE.

The structure in extended XYZ format:
```
4
Lattice="2.693 0.000 0.000 0.000 3.676 0.000 0.000 0.000 5.342" Properties=species:S:1:pos:R:3 pbc="T T T"
Ta 0.000 0.000 0.000
Co 1.346 1.838 1.425
Co 1.346 1.838 3.917
Os 0.000 0.000 2.671
```

Computed properties:
- SG = Pmmm, No. 47
- magnetic moment (μB/atom) = 0.002
- density of states at the Fermi level (states/eV/cell) = 3.45



(two)
TaCo2Os: optimized geometry, PBE.

The structure in extended XYZ format:
```
8
Lattice="3.761 0.000 0.000 0.000 3.761 0.000 0.000 0.000 7.632" Properties=species:S:1:pos:R:3 pbc="T T T"
Ta 0.000 0.000 0.000
Ta 1.881 1.881 3.816
Co 0.000 0.000 3.816
Co 0.000 1.881 5.724
Co 1.881 0.000 1.908
Co 1.881 1.881 0.000
Os 0.000 1.881 1.908
Os 1.881 0.000 5.724
```

Computed properties:
- SG = I-4m2, No. 119
- magnetic moment (μB/atom) = 0.583
- density of states at the Fermi level (states/eV/cell) = 9.74



(three)
TaCo2Os: optimized geometry, PBE.

The structure in extended XYZ format:
```
16
Lattice="6.046 0.000 0.000 0.000 6.046 0.000 0.000 0.000 6.046" Properties=species:S:1:pos:R:3 pbc="T T T"
Ta 0.000 0.000 0.000
Ta 0.000 3.023 3.023
Ta 3.023 0.000 3.023
Ta 3.023 3.023 0.000
Co 0.000 0.000 3.023
Co 0.000 3.023 0.000
Co 1.512 1.512 1.512
Co 1.512 4.535 4.535
Co 3.023 0.000 0.000
Co 3.023 3.023 3.023
Co 4.535 1.512 4.535
Co 4.535 4.535 1.512
Os 1.512 1.512 4.535
Os 1.512 4.535 1.512
Os 4.535 1.512 1.512
Os 4.535 4.535 4.535
```

Computed properties:
- SG = F-43m, No. 216
- magnetic moment (μB/atom) = 0.759
- density of states at the Fermi level (states/eV/cell) = 26.53



(four)
TaCo2Os: optimized geometry, PBE.

The structure in extended XYZ format:
```
8
Lattice="8.729 0.000 0.000 0.000 2.810 0.000 -0.948 0.000 4.455" Properties=species:S:1:pos:R:3 pbc="T T T"
Ta 0.000 0.000 0.000
Ta 4.364 1.405 0.000
Co 1.444 0.000 3.249
Co 1.972 1.405 1.206
Co 5.809 1.405 3.249
Co 6.336 0.000 1.206
Os -0.474 1.405 2.227
Os 3.890 0.000 2.227
```

Computed properties:
- SG = C2/m, No. 12
- magnetic moment (μB/atom) = 0.326
- density of states at the Fermi level (states/eV/cell) = 8.59



Quick one: most stable of them? (two)